No. 1
## Cs2Hg4Bi2Pt (PBE)

Data for Cs2Hg4Bi2Pt after structural relaxation. Values from VASP.

Results
As for the total magnetization: 0.00 Bohr magnetons per cell. The total energy comes out at -2.0004 eV per atom. Its formation energy is -1.29 eV/f.u.

Cell and atoms, written as Quantum ESPRESSO input:
```
&SYSTEM
  ibrav = 0, nat = 9, ntyp = 4
/
ATOMIC_SPECIES
Hg 200.59 Hg.upf
Cs 132.91 Cs.upf
Bi 208.98 Bi.upf
Pt 195.08 Pt.upf
CELL_PARAMETERS angstrom
7.3389 -0.2057 -0.3246
-3.1363 6.6381 0.3246
-3.1363 -2.5400 6.1416
ATOMIC_POSITIONS angstrom
Hg -3.1363 4.2716 1.8245
Hg -3.1363 -0.1735 4.6417
Hg -1.1010 2.9418 4.6417
Hg 2.1672 0.9506 1.4999
Cs 0.5331 -0.3483 4.5250
Cs 0.5331 4.2408 1.6165
Bi -1.8774 1.2266 1.9353
Bi -4.3952 2.8716 4.5308
Pt 0.0000 0.0000 0.0000
```

No. 2
## TiCuSi (PBE)

Data for TiCuSi after structural relaxation. Values from VASP.

Results
As for the total magnetization: 0.00 Bohr magnetons per cell. The total energy comes out at -6.2891 eV per atom. For the energy relative to the elements, uncorrected, the calculation gives -484.4 meV/atom.

Cell and atoms, written as Quantum ESPRESSO input:
```
&SYSTEM
  ibrav = 0, nat = 3, ntyp = 3
/
ATOMIC_SPECIES
Ti 47.87 Ti.upf
Si 28.09 Si.upf
Cu 63.55 Cu.upf
CELL_PARAMETERS angstrom
-2.6868 -1.1167 -0.3804
1.4412 -2.5132 -2.8011
-0.0796 -1.1263 3.8684
ATOMIC_POSITIONS angstrom
Ti -1.3639 -2.3331 1.3916
Si -0.4483 -0.1863 -0.0635
Cu 0.4870 -2.2368 -0.6413
```

No. 3
## CaRe2GePt (PBE)

Data for CaRe2GePt after structural relaxation. Values from VASP.

Results
As for the total magnetization: 0.00 Bohr magnetons per cell. The total energy comes out at -4.7371 eV per atom. Its formation energy is 13.87 eV/f.u.

Cell and atoms, written as Quantum ESPRESSO input:
```
&SYSTEM
  ibrav = 0, nat = 5, ntyp = 4
/
ATOMIC_SPECIES
Re 186.21 Re.upf
Pt 195.08 Pt.upf
Ca 40.08 Ca.upf
Ge 72.64 Ge.upf
CELL_PARAMETERS angstrom
-3.3638 2.9912 -0.8374
-2.9130 -2.4284 3.0272
1.4470 2.6011 3.4791
ATOMIC_POSITIONS angstrom
Re 0.7235 1.3006 1.7396
Re -1.6819 1.4956 -0.4187
Pt -2.4149 1.5820 2.8345
Ca 0.0000 0.0000 0.0000
Ge -1.4565 -1.2142 1.5136
```